(1)
SrNb2S | PBE | relaxed

As for the density: 5.2 g/cm³. The total energy comes out at -6.2580 eV per atom.

The space group is I-42d (No. 122) and the conventional cell measures 4.549, 4.549 and 19.009 Å, with angles of 90.00, 90.00 and 90.00 degrees. Symmetry generates all atoms from Sr at (0.000, 0.000, 0.000), Nb at (0.092, 0.750, 0.625) and S at (0.000, 0.000, 0.500).

(2)
SrNbTeS2 | PBE | relaxed

As for the density: 3.7 g/cm³. The total energy comes out at -3.7762 eV per atom.

The space group is P4/mmm (No. 123) and the conventional cell measures 5.291, 5.291 and 5.911 Å, with angles of 90.00, 90.00 and 90.00 degrees. Symmetry generates all atoms from Sr at (0.000, 0.000, 0.000), Nb at (0.500, 0.500, 0.000), Te at (0.000, 0.000, 0.500) and S at (0.000, 0.500, 0.500).

(3)
SrNbTlS4 | PBE | relaxed

As for the density: 4.1 g/cm³. The total energy comes out at -5.5318 eV per atom.

The space group is P2_1/m (No. 11) and the conventional cell measures 7.129, 6.940 and 8.821 Å, with angles of 90.00, 106.81 and 90.00 degrees. Symmetry generates all atoms from Sr at (0.232, 0.250, 0.057), Nb at (0.223, 0.750, 0.816), Tl at (0.264, 0.250, 0.569), S at (0.012, 0.008, 0.772), S at (0.412, 0.750, 0.073) and S at (0.418, 0.750, 0.651).

(4)
SrNbZnS2 | PBE | relaxed

As for the density: 4.3 g/cm³. The total energy comes out at -4.9784 eV per atom.

The space group is P4/mmm (No. 123) and the conventional cell measures 4.855, 4.855 and 5.024 Å, with angles of 90.00, 90.00 and 90.00 degrees. Symmetry generates all atoms from Sr at (0.000, 0.000, 0.000), Nb at (0.500, 0.500, 0.500), Zn at (0.500, 0.500, 0.000) and S at (0.000, 0.500, 0.500).

(5)
SrZrNb2S | PBE | relaxed

As for the density: 5.6 g/cm³. The total energy comes out at -6.6739 eV per atom.

The space group is P4/mmm (No. 123) and the conventional cell measures 4.692, 4.692 and 5.354 Å, with angles of 90.00, 90.00 and 90.00 degrees. Symmetry generates all atoms from Sr at (0.000, 0.000, 0.000), Zr at (0.500, 0.500, 0.000), Nb at (0.000, 0.500, 0.500) and S at (0.000, 0.000, 0.500).

(6)
TaNb2S | PBE | relaxed

As for the density: 9.2 g/cm³. The total energy comes out at -8.9355 eV per atom.

The space group is R-3m (No. 166, hexagonal axes) and the conventional cell measures 3.0007, 3.0007 and 27.7238 Å, with angles of 90.00, 90.00 and 120.00 degrees. Symmetry generates all atoms from Ta at (0.0000, 0.0000, 0.0000), Nb at (0.0000, 0.0000, 0.0983) and S at (0.0000, 0.0000, 0.5000).

(7)
TaNb6S | PBE | relaxed

As for the density: 9.0 g/cm³. The total energy comes out at -9.6273 eV per atom.

The space group is P-1 (No. 2) and the conventional cell measures 5.212, 5.214 and 5.215 Å, with angles of 90.37, 90.23 and 90.02 degrees. Symmetry generates all atoms from Ta at (0.000, 0.000, 0.000), Nb at (0.004, 0.500, 0.249), Nb at (0.249, 0.001, 0.500), Nb at (0.500, 0.249, 0.004) and S at (0.500, 0.500, 0.500).

(8)
TaNbS | PBE | relaxed

As for the density: 10.3 g/cm³. The energy above the lowest structure with this stoichiometry is 0.317 eV/atom. The total energy comes out at -9.0083 eV per atom.

The space group is I4mm (No. 107) and the conventional cell measures 2.985, 2.985 and 11.060 Å, with angles of 90.00, 90.00 and 90.00 degrees. Symmetry generates all atoms from Ta at (0.000, 0.000, 0.000), Nb at (0.000, 0.000, 0.710) and S at (0.000, 0.000, 0.370).

(9)
TaNb5S4 | PBE | relaxed

As for the density: 7.1 g/cm³. The total energy comes out at -8.3081 eV per atom.

The space group is C2/m (No. 12) and the conventional cell measures 15.094, 3.135 and 8.182 Å, with angles of 90.00, 111.30 and 90.00 degrees. Symmetry generates all atoms from Ta at (0.000, 0.000, 0.000), Nb at (0.000, 0.000, 0.500), Nb at (0.153, 0.500, 0.351), Nb at (0.167, 0.500, 0.688), S at (0.025, 0.500, 0.774) and S at (0.172, 0.000, 0.120).

(10)
TaNb2S | PBE | relaxed

As for the density: 9.7 g/cm³. The total energy comes out at -9.3574 eV per atom.

The space group is P2_1/m (No. 11) and the conventional cell measures 6.398, 3.328 and 6.618 Å, with angles of 90.00, 103.53 and 90.00 degrees. Symmetry generates all atoms from Ta at (0.083, 0.250, 0.363), Nb at (0.229, 0.250, 0.930), Nb at (0.402, 0.750, 0.632) and S at (0.307, 0.750, 0.219).

(11)
Ta2NbS6 | PBE | relaxed

As for the density: 5.4 g/cm³. The energy above the lowest structure with this stoichiometry is 0.373 eV/atom. The total energy comes out at -7.1622 eV per atom.

The space group is C2/m (No. 12) and the conventional cell measures 12.169, 4.405 and 8.630 Å, with angles of 90.00, 120.71 and 90.00 degrees. Symmetry generates all atoms from Ta at (0.151, 0.000, 0.093), Nb at (0.000, 0.000, 0.500), S at (0.027, 0.000, 0.228), S at (0.139, 0.500, 0.617) and S at (0.199, 0.500, 0.048).

(12)
Ta3Nb2S8 | PBE | relaxed

As for the density: 6.7 g/cm³. The total energy comes out at -7.6957 eV per atom.

The space group is C2/m (No. 12) and the conventional cell measures 11.984, 7.027 and 5.996 Å, with angles of 90.00, 104.25 and 90.00 degrees. Symmetry generates all atoms from Ta at (0.000, 0.000, 0.000), Ta at (0.000, 0.215, 0.500), Nb at (0.226, 0.000, 0.778), S at (0.100, 0.500, 0.379), S at (0.123, 0.258, 0.899) and S at (0.138, 0.000, 0.372).

(13)
Ta2NbS4 | PBE | relaxed

As for the density: 8.3 g/cm³. The total energy comes out at -7.7457 eV per atom.

The space group is Cccm (No. 66) and the conventional cell measures 6.160, 8.891 and 8.570 Å, with angles of 90.00, 90.00 and 90.00 degrees. Symmetry generates all atoms from Ta at (0.000, 0.237, 0.000), Nb at (0.000, 0.000, 0.250), S at (0.238, 0.002, 0.000) and S at (0.250, 0.250, 0.252).

(14)
Ta4NbS2 | PBE | relaxed

As for the density: 9.9 g/cm³. The total energy comes out at -8.2320 eV per atom.

The space group is I4/mmm (No. 139) and the conventional cell measures 4.831, 4.831 and 12.669 Å, with angles of 90.00, 90.00 and 90.00 degrees. Symmetry generates all atoms from Ta at (0.000, 0.000, 0.209), Ta at (0.000, 0.500, 0.000), Nb at (0.000, 0.000, 0.000) and S at (0.000, 0.000, 0.395).

(15)
TaNbS | PBE | relaxed

As for the density: 10.3 g/cm³. The energy above the lowest structure with this stoichiometry is 0.180 eV/atom. The total energy comes out at -9.1448 eV per atom.

The space group is Cm (No. 8) and the conventional cell measures 11.098, 3.031 and 7.074 Å, with angles of 90.00, 123.63 and 90.00 degrees. Symmetry generates all atoms from Ta at (0.000, 0.000, 0.000), Ta at (0.036, 0.500, 0.654), Nb at (0.254, 0.000, 0.545), Nb at (0.296, 0.500, 0.198), S at (0.039, 0.500, 0.305) and S at (0.252, 0.000, 0.890).

(16)
Ta3NbS6 | PBE | relaxed

As for the density: 7.3 g/cm³. The total energy comes out at -7.7390 eV per atom.

The space group is R-3 (No. 148, hexagonal axes) and the conventional cell measures 9.9978, 9.9978 and 13.1318 Å, with angles of 90.00, 90.00 and 120.00 degrees. Symmetry generates all atoms from Ta at (0.0284, 0.4459, 0.3502), Nb at (0.0000, 0.0000, 0.0000), Nb at (0.0000, 0.0000, 0.5000), S at (0.0227, 0.2085, 0.8758) and S at (0.0409, 0.2017, 0.3730).

(17)
TaNb6S8 | PBE | relaxed

As for the density: 6.0 g/cm³. The total energy comes out at -7.7117 eV per atom.

The space group is R-3 (No. 148, hexagonal axes) and the conventional cell measures 9.1614, 9.1614 and 11.4130 Å, with angles of 90.00, 90.00 and 120.00 degrees. Symmetry generates all atoms from Ta at (0.0000, 0.0000, 0.0000), Nb at (0.0269, 0.1889, 0.3867), S at (0.0000, 0.0000, 0.2189) and S at (0.0111, 0.6219, 0.7566).

(18)
Ta2NbS6 | PBE | relaxed

As for the density: 5.4 g/cm³. The energy above the lowest structure with this stoichiometry is 0.000 eV/atom. The total energy comes out at -7.5353 eV per atom.

The space group is C2/m (No. 12) and the conventional cell measures 16.722, 3.382 and 7.736 Å, with angles of 90.00, 113.57 and 90.00 degrees. Symmetry generates all atoms from Ta at (0.156, 0.000, 0.314), Nb at (0.000, 0.500, 0.000), S at (0.003, 0.000, 0.243), S at (0.163, 0.500, 0.090) and S at (0.176, 0.500, 0.563).

(19)
TaNb2S6 | PBE | relaxed

As for the density: 4.6 g/cm³. The energy above the lowest structure with this stoichiometry is 0.000 eV/atom. The total energy comes out at -7.3197 eV per atom.

The space group is C2/m (No. 12) and the conventional cell measures 16.729, 3.387 and 7.777 Å, with angles of 90.00, 113.90 and 90.00 degrees. Symmetry generates all atoms from Ta at (0.000, 0.000, 0.000), Nb at (0.174, 0.500, 0.347), S at (0.006, 0.500, 0.236), S at (0.160, 0.000, 0.097) and S at (0.169, 0.000, 0.577).

(20)
TaNbS | PBE | relaxed

As for the density: 9.8 g/cm³. The energy above the lowest structure with this stoichiometry is 0.333 eV/atom. The total energy comes out at -8.9923 eV per atom.

The space group is P3m1 (No. 156) and the conventional cell measures 3.4222, 3.4222 and 5.0868 Å, with angles of 90.00, 90.00 and 120.00 degrees. Symmetry generates all atoms from Ta at (0.0000, 0.0000, 0.0000), Nb at (0.6667, 0.3333, 0.4459) and S at (0.3333, 0.6667, 0.7242).